No. 1
Compound: Er8AgHg2
Source: Alexandria via LeMat-Bulk
Functional: GGA-PBE
Structure: optimized geometry

Output
Crystal system   monoclinic
ρ   10.0 Mg/m³
DFT formation energy   -198 meV per atom
Space group   No. 12

a = 5.1403 Å, b = 6.8912 Å, c = 9.2816 Å
α = 104.36°, β = 106.08°, γ = 90.00°
Sites, in units of the cell vectors:
Er 0.3379 0.0339 0.6758
Er 0.5904 0.4541 0.1809
Er 0.6621 0.9661 0.3242
Er 0.1985 0.3106 0.3969
Er 0.4096 0.5459 0.8191
Er 0.9747 0.2314 0.9495
Er 0.8015 0.6894 0.6031
Er 0.0253 0.7686 0.0505
Hg 0.1887 0.7271 0.3774
Hg 0.8113 0.2729 0.6226
Ag 0.5000 0.0000 0.0000

No. 2
Compound: AcCuNiGe2
Source: Alexandria via LeMat-Bulk
Functional: GGA-PBE
Structure: optimized geometry

Output
Crystal system   tetragonal
ρ   8.6 Mg/m³
DFT formation energy   -550 meV per atom
Space group   No. 119

a = 4.3428 Å, b = 4.3428 Å, c = 5.9130 Å
α = 111.54°, β = 111.54°, γ = 90.00°
Sites, in units of the cell vectors:
Ge 0.3660 0.3660 0.7321
Ge 0.6340 0.6340 0.2679
Ni 0.7500 0.2500 0.5000
Cu 0.2500 0.7500 0.5000
Ac 0.0000 0.0000 0.0000

No. 3
Compound: SrOs3N
Source: Alexandria via LeMat-Bulk
Functional: GGA-PBE
Structure: optimized geometry

Output
Crystal system   cubic
VASP energy   -3.932 eV/atom
ρ   8.4 Mg/m³
Space group   No. 221

a = 5.0954 Å, b = 5.0954 Å, c = 5.0954 Å
α = 90.00°, β = 90.00°, γ = 90.00°
Sites, in units of the cell vectors:
Os 0.0000 0.0000 0.5000
Os 0.5000 0.0000 0.0000
Os 0.0000 0.5000 0.0000
Sr 0.0000 0.0000 0.0000
N 0.5000 0.5000 0.5000

No. 4
Compound: GaAgSn2
Source: Alexandria via LeMat-Bulk
Functional: GGA-PBE
Structure: optimized geometry

Output
Crystal system   trigonal
ρ   6.9 Mg/m³
DFT formation energy   82 meV per atom
Space group   No. 160

a = 4.3629 Å, b = 4.3629 Å, c = 6.5382 Å
α = 70.51°, β = 70.51°, γ = 60.00°
Sites, in units of the cell vectors:
Ga 0.5019 0.5019 0.4943
Ag 0.6654 0.6654 0.0037
Sn 0.2531 0.2531 0.2407
Sn 0.0796 0.0796 0.7612

No. 5
Compound: SrCu2Tc
Source: Alexandria via LeMat-Bulk
Functional: GGA-PBE
Structure: optimized geometry

Output
Energy above the most stable polymorph in this dataset   0.00 kcal/mol of atoms
Crystal system   monoclinic
ρ   6.1 Mg/m³
DFT formation energy   312 meV per atom
Space group   No. 12

a = 4.2882 Å, b = 4.2882 Å, c = 5.9062 Å
α = 68.58°, β = 68.58°, γ = 60.05°
Sites, in units of the cell vectors:
Cu 0.5603 0.5603 0.3191
Cu 0.9397 0.9397 0.1809
Sr 0.7500 0.7500 0.7500
Tc 0.2500 0.2500 0.2500

No. 6
Compound: ErPaSbTe
Source: Alexandria via LeMat-Bulk
Functional: GGA-PBE
Structure: optimized geometry

Output
Crystal system   cubic
VASP energy   -6.049 eV/atom
ρ   10.2 Mg/m³
Space group   No. 216

a = 5.2957 Å, b = 5.2957 Å, c = 5.2957 Å
α = 60.00°, β = 60.00°, γ = 60.00°
Sites, in units of the cell vectors:
Pa 0.7500 0.7500 0.7500
Te 0.0000 0.0000 0.0000
Er 0.2500 0.2500 0.2500
Sb 0.5000 0.5000 0.5000